# Er5ZnRh6

Crystalline Er5ZnRh6 at its relaxed geometry (GGA-PBE, Alexandria via LeMat-Bulk).

Total magnetic moment ... 0.0 μB per formula unit
Formation energy from the elements ... -857 meV per atom
Uncorrected energy ... -6.54 eV/atom

POSCAR file:
```
Er5ZnRh6
1.0
-2.341 3.375 7.033
2.341 -3.375 7.033
2.341 3.375 -7.033
Er Zn Rh
5 1 6
direct
0.000 0.000 0.000
0.172 0.672 0.500
0.347 0.347 0.000
0.653 0.653 0.000
0.828 0.328 0.500
0.500 0.000 0.500
0.086 0.835 0.251
0.242 0.500 0.742
0.415 0.165 0.251
0.585 0.835 0.749
0.758 0.500 0.258
0.914 0.165 0.749
```

=====

# GePd2Se

Crystalline GePd2Se at its relaxed geometry (GGA-PBE, Alexandria via LeMat-Bulk).

Total magnetic moment ... 0.0 μB per formula unit
Uncorrected energy ... -4.71 eV/atom
Excess energy over the best structure of this formula in the dataset ... 121.2 meV/atom
Formation energy from raw total energies ... -0.090 eV/atom

POSCAR file:
```
GePd2Se
1.0
3.554 -2.054 0.000
3.554 2.054 0.000
-0.002 0.000 6.248
Ge Pd Se
1 2 1
direct
0.000 0.000 0.000
0.666 0.666 0.865
0.999 0.999 0.390
0.666 0.666 0.465
```

=====

# Sr2P

Crystalline Sr2P at its relaxed geometry (GGA-PBE, Alexandria via LeMat-Bulk).

Total magnetic moment ... 0.7 μB per formula unit
Formation energy from the elements ... -816 meV per atom
Uncorrected energy ... -3.74 eV/atom

POSCAR file:
```
Sr2P
1.0
7.432 0.000 0.000
0.000 4.180 0.000
0.000 0.000 13.804
Sr P
8 4
direct
0.097 0.250 0.243
0.223 0.750 0.491
0.277 0.250 0.991
0.403 0.750 0.743
0.597 0.250 0.257
0.723 0.750 0.009
0.777 0.250 0.509
0.903 0.750 0.757
0.126 0.250 0.643
0.374 0.750 0.143
0.626 0.250 0.857
0.874 0.750 0.357
```

=====

# MgGa2Ag2

Crystalline MgGa2Ag2 at its relaxed geometry (GGA-PBE, Alexandria via LeMat-Bulk).

Total magnetic moment ... 0.0 μB per formula unit
Formation energy from the elements ... -14 meV per atom
Uncorrected energy ... -2.68 eV/atom
Excess energy over the best structure of this formula in the dataset ... 58.3 meV/atom

POSCAR file:
```
MgGa2Ag2
1.0
7.802 0.000 0.000
0.000 7.802 0.000
0.000 0.000 3.093
Mg Ga Ag
2 4 4
direct
0.000 0.000 0.000
0.500 0.500 0.000
0.116 0.384 0.000
0.384 0.884 0.000
0.616 0.116 0.000
0.884 0.616 0.000
0.188 0.688 0.500
0.312 0.188 0.500
0.688 0.812 0.500
0.812 0.312 0.500
```